Entry 1:
{
  "formula": "K3Tm3TaO8",
  "functional": "PBE",
  "state": "relaxed",
  "final_energy_ev_per_cell": -109.9,
  "magmom_total_mub_per_atom": 0.07,
  "space_group": "R-3m, No. 166",
  "formation_energy_uncorrected_ev_per_atom": -2.777,
  "cell": [[3.366, 1.943, 6.266], [-3.366, 1.943, 6.266], [0.000, -3.886, 6.266]],
  "species": ["K", "K", "K", "Tm", "Tm", "Tm", "Ta", "O", "O", "O", "O", "O", "O", "O", "O"],
  "frac_coords": [[0.000, 0.500, 0.500], [0.500, 0.000, 0.500], [0.500, 0.500, 0.000], [0.000, 0.000, 0.500], [0.000, 0.500, 0.000], [0.500, 0.000, 0.000], [0.500, 0.500, 0.500], [0.228, 0.228, 0.228], [0.243, 0.712, 0.712], [0.288, 0.288, 0.757], [0.288, 0.757, 0.288], [0.712, 0.243, 0.712], [0.712, 0.712, 0.243], [0.757, 0.288, 0.288], [0.772, 0.772, 0.772]]
}



Entry 2:
{
  "formula": "K3UTa2O9",
  "functional": "PBE",
  "state": "relaxed",
  "final_energy_ev_per_cell": -123.9,
  "magmom_total_mub_per_atom": 0.07,
  "space_group": "P-3m1, No. 164",
  "formation_energy_uncorrected_ev_per_atom": -2.736,
  "cell": [[5.838, 0.000, 0.000], [-2.919, 5.056, 0.000], [0.000, 0.000, 7.170]],
  "species": ["K", "K", "K", "U", "Ta", "Ta", "O", "O", "O", "O", "O", "O", "O", "O", "O"],
  "frac_coords": [[0.000, 0.000, 0.000], [0.333, 0.667, 0.667], [0.667, 0.333, 0.333], [0.000, 0.000, 0.500], [0.333, 0.667, 0.157], [0.667, 0.333, 0.843], [0.000, 0.500, 0.000], [0.173, 0.346, 0.323], [0.173, 0.827, 0.323], [0.346, 0.173, 0.677], [0.500, 0.000, 0.000], [0.500, 0.500, 0.000], [0.654, 0.827, 0.323], [0.827, 0.173, 0.677], [0.827, 0.654, 0.677]]
}



Entry 3:
{
  "formula": "K4UTa3O12",
  "functional": "PBE",
  "state": "relaxed",
  "final_energy_ev_per_cell": -164.8,
  "magmom_total_mub_per_atom": 0.05,
  "space_group": "Im-3m, No. 229",
  "formation_energy_uncorrected_ev_per_atom": -2.701,
  "cell": [[-4.109, 4.109, 4.109], [4.109, -4.109, 4.109], [4.109, 4.109, -4.109]],
  "species": ["K", "K", "K", "K", "U", "Ta", "Ta", "Ta", "O", "O", "O", "O", "O", "O", "O", "O", "O", "O", "O", "O"],
  "frac_coords": [[0.000, 0.000, 0.500], [0.000, 0.500, 0.000], [0.500, 0.000, 0.000], [0.500, 0.500, 0.500], [0.000, 0.000, 0.000], [0.000, 0.500, 0.500], [0.500, 0.000, 0.500], [0.500, 0.500, 0.000], [0.000, 0.260, 0.260], [0.000, 0.740, 0.740], [0.250, 0.500, 0.750], [0.250, 0.750, 0.500], [0.260, 0.000, 0.260], [0.260, 0.260, 0.000], [0.500, 0.250, 0.750], [0.500, 0.750, 0.250], [0.740, 0.000, 0.740], [0.740, 0.740, 0.000], [0.750, 0.250, 0.500], [0.750, 0.500, 0.250]]
}



Entry 4:
{
  "formula": "K2UTa3O12",
  "functional": "PBE",
  "state": "relaxed",
  "final_energy_ev_per_cell": -156.7,
  "magmom_total_mub_per_atom": 0.00,
  "space_group": "R-3m, No. 166",
  "formation_energy_uncorrected_ev_per_atom": -2.677,
  "cell": [[3.738, 2.158, 6.364], [-3.738, 2.158, 6.364], [0.000, -4.317, 6.364]],
  "species": ["K", "K", "U", "Ta", "Ta", "Ta", "O", "O", "O", "O", "O", "O", "O", "O", "O", "O", "O", "O"],
  "frac_coords": [[0.101, 0.101, 0.101], [0.899, 0.899, 0.899], [0.500, 0.500, 0.500], [0.000, 0.500, 0.500], [0.500, 0.000, 0.500], [0.500, 0.500, 0.000], [0.178, 0.565, 0.565], [0.189, 0.189, 0.568], [0.189, 0.568, 0.189], [0.432, 0.811, 0.811], [0.435, 0.435, 0.822], [0.435, 0.822, 0.435], [0.565, 0.178, 0.565], [0.565, 0.565, 0.178], [0.568, 0.189, 0.189], [0.811, 0.432, 0.811], [0.811, 0.811, 0.432], [0.822, 0.435, 0.435]]
}